Entry 1:
# TlInB3

A geometry-optimized TlInB3 structure (PBE, Alexandria via LeMat-Bulk).

Cell lengths 4.6167, 4.6167, 4.6167 Å; angles 90.00, 90.00, 90.00 degrees
Space group Pm-3m (No. 221)
Asymmetric unit:
Tl  0.0000  0.0000  0.0000 x1
In  0.5000  0.5000  0.5000 x1
B  0.0000  0.5000  0.5000 x3

Output
- Polymorph energy (0 for the lowest one): 0.0000 eV/atom
- Formation energy from the elements: 2.09 eV/atom
- V: 19.7 Å³/atom
- Total moment: 0.00 μB/cell


Entry 2:
# Tl2ZnInB

A geometry-optimized Tl2ZnInB structure (PBE, Alexandria via LeMat-Bulk).

Cell lengths 5.7334, 5.7334, 5.5908 Å; angles 90.00, 90.00, 90.00 degrees
Space group P4/mmm (No. 123)
Asymmetric unit:
Tl  0.0000  0.5000  0.0000 x2
Zn  0.0000  0.0000  0.0000 x1
In  0.0000  0.0000  0.5000 x1
B  0.5000  0.5000  0.5000 x1

Output
- Formation energy from the elements: 1.25 eV/atom
- V: 36.8 Å³/atom
- Total moment: 0.00 μB/cell


Entry 3:
# TmInB

A geometry-optimized TmInB structure (PBE, Alexandria via LeMat-Bulk).

Cell lengths 3.4329, 22.2991, 3.2025 Å; angles 90.00, 90.00, 90.00 degrees
Space group Cmcm (No. 63)
Asymmetric unit:
Tm  0.0000  0.0708  0.2500 x4
In  0.0000  0.3003  0.7500 x4
B  0.0000  0.4850  0.2500 x4

Output
- Formation energy from the elements: -0.30 eV/atom
- V: 20.4 Å³/atom
- Total moment: 0.00 μB/cell


Question: total moment of number 1 (TlInB3)?
Answer: 0.00 μB/cell